First-principles (PBE) data for a relaxed structure of Mg2HF3, as listed in the Alexandria database.

Geometry as extended XYZ:
```
12
Lattice="-3.6904 -4.1305 0.7098 4.7433 -1.7008 -2.4067 1.3680 2.0459 5.0127" Properties=species:S:1:pos:R:3 pbc="T T T"
Mg 0.9314 -0.4490 2.1211
Mg 2.3717 -0.8504 -1.2034
Mg -1.8452 -2.0652 0.3549
Mg 1.4895 -3.3363 1.1947
H 0.2355 -1.0737 3.8358
H 2.1854 -2.7117 -0.5200
F 4.4632 0.1509 2.2509
F -2.0423 -3.9362 1.0649
F 0.0065 -1.9607 1.1445
F 4.2234 -0.7458 -0.4137
F 1.8879 1.0910 3.0197
F 2.4143 -1.8247 2.1713
```

Calculated values
- E (eV/atom) = -4.73
- energy above the most stable polymorph in this dataset (eV per atom) = 0.000

First-principles (PBE) data for a relaxed structure of Li2Zn3Ag4, as listed in the Alexandria database.

Geometry as extended XYZ:
```
9
Lattice="-0.4929 -4.1185 0.1807 -0.6675 -1.8214 4.2109 -8.3466 0.9738 0.6431" Properties=species:S:1:pos:R:3 pbc="T T T"
Li -6.8904 -1.2189 2.0293
Li -2.6166 -3.7472 3.0054
Zn -4.0977 -1.5458 1.7050
Zn 0.0000 0.0000 0.0000
Zn -5.4092 -3.4202 3.3297
Ag -8.1763 -3.0921 3.5203
Ag -3.4203 -1.5022 4.3068
Ag -6.0867 -3.4639 0.7279
Ag -1.3306 -1.8740 1.5144
```

Calculated values
- E (eV/atom) = -2.27
- energy above the most stable polymorph in this dataset (eV per atom) = 0.000
- calculated formation energy (eV/atom) = -0.151

First-principles (PBE) data for a relaxed structure of CdTe2, as listed in the Alexandria database.

Geometry as extended XYZ:
```
6
Lattice="-5.3319 -0.7413 3.5237 -2.5139 5.0291 3.1278 -5.5518 2.5750 -1.9852" Properties=species:S:1:pos:R:3 pbc="T T T"
Cd -6.6988 3.4314 2.3331
Cd -10.0482 5.1471 3.4997
Te -4.3406 0.4872 2.3451
Te -4.4506 2.1454 -0.4093
Te -1.6747 0.8578 0.5833
Te -2.9316 3.3724 2.1472
```

Calculated values
- E (eV/atom) = -2.10
- formation energy without anion corrections (eV/f.u.) = 0.90

First-principles (PBE) data for a relaxed structure of AlHgTeO6, as listed in the Alexandria database.

Geometry as extended XYZ:
```
18
Lattice="-4.3854 -0.7075 -2.6405 3.0290 -4.0376 1.1079 -4.7488 -1.3027 8.2361" Properties=species:S:1:pos:R:3 pbc="T T T"
Al -3.1011 -2.1432 0.6680
Al -3.0040 -3.9046 6.0355
Hg 0.0000 0.0000 0.0000
Hg -2.3744 -0.6513 4.1180
Te -0.6296 -3.2532 1.9174
Te -5.4755 -2.7945 4.7860
O -1.5424 -3.1593 0.1978
O -3.9212 -2.3812 -1.0507
O -1.6528 -5.1177 5.4145
O -2.1839 -3.6666 7.7542
O -2.2206 -2.2227 2.3714
O -4.1701 -3.6991 1.0138
O -3.8049 -5.5809 6.5168
O -4.4523 -0.9300 1.2890
O -1.9351 -2.3486 5.6897
O -2.3002 -0.4669 0.1867
O -3.8846 -3.8250 4.3321
O -4.5628 -2.8885 6.5056
```

Calculated values
- E (eV/atom) = -5.33
- formation energy without anion corrections (eV/f.u.) = -11.05

First-principles (PBE) data for a relaxed structure of Tm5SnAu, as listed in the Alexandria database.

Geometry as extended XYZ:
```
14
Lattice="6.1448 -1.1343 -0.8440 0.8738 6.1873 -0.8440 1.7981 1.2945 9.7815" Properties=species:S:1:pos:R:3 pbc="T T T"
Tm 1.1446 3.9775 1.0098
Tm 2.6904 2.8930 4.3837
Tm 5.0342 0.4709 5.9006
Tm 5.8470 0.2275 1.6014
Tm 6.1187 5.3612 8.6005
Tm 2.6981 0.9863 -0.5070
Tm 2.9698 6.1200 6.4921
Tm 3.7825 5.8766 2.1929
Tm 6.1264 3.4545 3.7098
Tm 7.6721 2.3700 7.0837
Sn 4.0303 2.7508 1.6014
Sn 4.7864 3.5967 6.4921
Au 0.0000 0.0000 0.0000
Au 0.8990 0.6473 4.8907
```

Calculated values
- E (eV/atom) = -4.57
- calculated formation energy (eV/atom) = -0.335

First-principles (PBE) data for a relaxed structure of PrY3Ho2, as listed in the Alexandria database.

Geometry as extended XYZ:
```
12
Lattice="6.0036 0.0001 -2.0678 -0.9544 6.6279 -2.7714 0.0760 0.2145 9.9702" Properties=species:S:1:pos:R:3 pbc="T T T"
Pr 4.2828 1.6569 -2.2501
Pr 0.8424 5.1856 7.3811
Y 3.7987 4.9709 -3.6334
Y 1.2505 1.6571 -1.2058
Y 4.8817 0.5665 4.4149
Y 0.7264 2.9621 2.0999
Y 4.3988 3.8805 3.0312
Y 0.2435 6.2760 0.7161
Ho 1.8450 2.5025 5.3564
Ho 1.3675 5.8165 3.9708
Ho 3.7577 1.0261 1.1602
Ho 3.2802 4.3401 -0.2254
```

Calculated values
- E (eV/atom) = -5.41
- energy above the most stable polymorph in this dataset (eV per atom) = 0.026
- calculated formation energy (eV/atom) = 0.147

First-principles (PBE) data for a relaxed structure of ZrCu4As, as listed in the Alexandria database.

Geometry as extended XYZ:
```
6
Lattice="4.4031 -1.7868 -1.5509 2.9302 -2.5215 3.1688 0.6389 -4.9250 -0.5673" Properties=species:S:1:pos:R:3 pbc="T T T"
Zr 5.9791 -6.9250 0.7880
Cu 5.1898 -4.3562 -0.3804
Cu 3.3097 -5.9235 0.1108
Cu 4.4541 -4.7231 1.9768
Cu 2.9907 -3.4638 0.3941
As 0.0000 0.0000 0.0000
```

Calculated values
- E (eV/atom) = -4.97
- calculated formation energy (eV/atom) = -0.040

First-principles (PBE) data for a relaxed structure of KMnSi2, as listed in the Alexandria database.

Geometry as extended XYZ:
```
4
Lattice="3.1680 0.0000 0.0000 0.0000 3.1680 0.0000 0.0000 0.0000 7.6947" Properties=species:S:1:pos:R:3 pbc="T T T"
K 0.0000 0.0000 3.8816
Mn 1.5840 1.5840 6.7323
Si 0.0000 0.0000 7.3547
Si 1.5840 1.5840 1.2681
```

Calculated values
- E (eV/atom) = -4.97
- energy above the most stable polymorph in this dataset (eV per atom) = 0.235
- formation energy without anion corrections (eV/f.u.) = 1.25

First-principles (PBE) data for a relaxed structure of CdCl2, as listed in the Alexandria database.

Geometry as extended XYZ:
```
9
Lattice="-2.9228 -1.4091 6.2505 -2.1725 -3.4273 -5.7560 3.7330 -3.8429 0.8792" Properties=species:S:1:pos:R:3 pbc="T T T"
Cd -2.4226 -2.7546 -1.7538
Cd -2.6727 -2.0819 2.2484
Cd 1.8665 -1.9214 0.4396
Cl -0.8721 -0.4205 1.8650
Cl -0.6482 -1.0226 -1.7174
Cl -3.5750 -3.3934 0.3470
Cl -0.0275 -2.8346 4.4901
Cl 0.4587 -4.1424 -3.2904
Cl 0.0731 -3.6238 0.6137
```

Calculated values
- E (eV/atom) = -2.45
- formation energy without anion corrections (eV/f.u.) = -2.73

First-principles (PBE) data for a relaxed structure of Dy2YSc3Te6, as listed in the Alexandria database.

Geometry as extended XYZ:
```
12
Lattice="-2.5278 2.8841 -1.8382 -4.1582 -6.2531 -4.0925 -3.4780 -0.5366 8.8603" Properties=species:S:1:pos:R:3 pbc="T T T"
Dy -7.2014 -2.1275 1.6454
Dy -2.9626 -1.7781 1.2842
Y -1.2639 1.4420 -0.9191
Sc -3.3430 -1.6845 -2.9654
Sc -5.1237 1.0002 3.6955
Sc -5.0403 -4.9059 -0.7659
Te -6.9737 -5.1872 1.4513
Te -5.2709 -1.9564 -0.7408
Te -3.1904 1.2816 1.4783
Te -7.0513 0.7241 5.9128
Te -3.1128 -4.6297 -2.9832
Te -4.8931 -1.9492 3.6705
```

Calculated values
- E (eV/atom) = -5.65
- formation energy without anion corrections (eV/f.u.) = -14.32

First-principles (PBE) data for a relaxed structure of La7Dy2Th, as listed in the Alexandria database.

Geometry as extended XYZ:
```
10
Lattice="3.5063 0.0000 0.0000 0.0000 10.2147 -2.8134 0.0000 -0.6957 10.5718" Properties=species:S:1:pos:R:3 pbc="T T T"
La 0.0000 6.6959 1.5033
La 0.0000 2.8231 6.2551
La 1.7531 1.0328 3.6683
La 1.7531 8.4862 4.0901
La 1.7531 3.8012 0.2716
La 1.7531 5.7178 7.4868
La 1.7531 4.7595 3.8792
Dy 1.7531 8.4243 -0.6167
Dy 1.7531 1.0947 8.3751
Th 0.0000 0.0000 0.0000
```

Calculated values
- E (eV/atom) = -4.77
- calculated formation energy (eV/atom) = 0.338

First-principles (PBE) data for a relaxed structure of Er2Pt2O5, as listed in the Alexandria database.

Geometry as extended XYZ:
```
9
Lattice="-1.8530 -3.1589 -0.8578 -0.0278 -0.9705 3.6339 -7.8502 4.3087 1.0905" Properties=species:S:1:pos:R:3 pbc="T T T"
Er -2.9746 -0.9482 1.6706
Er -6.7564 1.1276 2.1960
Pt 0.0000 0.0000 0.0000
Pt -3.9251 2.1544 0.5453
O -1.9879 -0.9969 -0.2815
O -7.7153 2.1467 0.5142
O -4.8655 0.0897 1.9333
O -1.0753 0.0973 1.9644
O -6.8027 3.2409 2.7600
```

Calculated values
- E (eV/atom) = -6.62
- formation energy without anion corrections (eV/f.u.) = -13.56

First-principles (PBE) data for a relaxed structure of Sr5PuN5, as listed in the Alexandria database.

Geometry as extended XYZ:
```
11
Lattice="-4.9308 1.6580 0.0783 1.6932 -3.3727 5.1905 2.3594 6.9585 1.2318" Properties=species:S:1:pos:R:3 pbc="T T T"
Sr -2.0100 2.0828 2.1680
Sr -0.7341 5.8442 2.8645
Sr 1.1797 3.4792 0.6159
Sr -0.1441 -0.6005 3.6362
Sr 1.1317 3.1610 4.3327
Pu 0.0000 0.0000 0.0000
N -2.6923 -0.0337 4.0165
N -1.2991 4.0728 4.7981
N -2.4654 0.8290 0.0392
N 0.4208 1.1709 1.7026
N 1.8140 5.2775 2.4842
```

Calculated values
- E (eV/atom) = -6.57
- formation energy without anion corrections (eV/f.u.) = -7.92